No. 1
8
Lattice="12.433 0.000 0.000 0.000 12.433 0.000 6.216 6.216 1.969" Properties=species:S:1:pos:R:3 comment="GGA-PBE K2TaO, relaxed" crystal_system=tetragonal e_form_raw_ev_per_atom=-0.285 pbc="T T T"
K 7.109 3.108 0.492
K 5.323 9.325 0.492
K 9.325 11.540 1.477
K 15.541 13.326 1.477
O 6.216 6.216 0.000
O 6.216 12.433 0.984
Ta 0.000 0.000 0.000
Ta 12.433 6.216 0.984

No. 2
5
Lattice="-2.998 1.988 2.219 -1.775 -3.720 0.936 2.393 -0.268 3.474" Properties=species:S:1:pos:R:3 comment="GGA-PBE YTeO3, relaxed" crystal_system=cubic e_form_raw_ev_per_atom=-1.184 pbc="T T T"
Y -1.190 -1.000 3.314
Te 0.000 0.000 0.000
O -0.887 -1.860 0.468
O 1.196 -0.134 1.737
O -1.499 0.994 1.109

No. 3
12
Lattice="-2.720 -0.556 4.990 -8.105 -0.072 -1.158 1.435 -8.404 3.112" Properties=species:S:1:pos:R:3 comment="GGA-PBE Pm3Ho4Sc5, relaxed" crystal_system=monoclinic formation_enthalpy_0k_ev_per_atom=0.242 pbc="T T T"
Pm -6.765 -2.308 2.591
Pm -3.335 -4.238 0.977
Pm -2.625 -6.724 4.354
Ho -4.098 -0.965 4.194
Ho 0.179 -5.300 2.774
Ho -9.568 -3.732 4.171
Ho -5.291 -8.067 2.751
Sc -8.052 -7.163 4.615
Sc -4.695 -4.516 3.472
Sc -4.162 -1.347 0.849
Sc -5.227 -7.685 6.096
Sc -1.337 -1.869 2.330

No. 4
8
Lattice="5.014 0.000 0.000 0.000 5.014 0.000 2.507 2.507 8.732" Properties=species:S:1:pos:R:3 comment="GGA-PBE Zr2SeI, relaxed" crystal_system=tetragonal e_form_raw_ev_per_atom=-0.231 polymorph_energy_mev_per_atom=257.8 pbc="T T T"
I 0.000 0.000 0.000
I 5.014 2.507 4.366
Se 2.507 2.507 0.000
Se 2.507 5.014 4.366
Zr 3.533 1.253 2.183
Zr 1.481 3.760 2.183
Zr 3.760 3.988 6.549
Zr 6.267 6.039 6.549

No. 5
10
Lattice="9.535 0.000 -1.254 0.000 5.731 0.000 -1.261 0.000 6.164" Properties=species:S:1:pos:R:3 comment="GGA-PBE Tb3PrEr, relaxed" crystal_system=monoclinic formation_enthalpy_0k_ev_per_atom=0.017 polymorph_energy_mev_per_atom=0.0 pbc="T T T"
Tb 0.962 5.445 4.483
Tb -1.047 2.580 5.144
Tb 4.903 2.578 3.161
Tb 3.371 5.444 1.749
Tb 9.321 5.445 -0.235
Tb 7.312 2.579 0.426
Pr 1.369 2.579 2.411
Pr 6.905 5.444 2.499
Er 4.482 5.445 5.203
Er 3.792 2.579 -0.294

No. 6
4
Lattice="-1.804 -1.724 3.791 -3.750 -1.119 -2.298 1.182 -2.644 -0.640" Properties=species:S:1:pos:R:3 comment="GGA-PBE Re2MoCl, relaxed" crystal_system=tetragonal e_form_raw_ev_per_atom=1.087 polymorph_energy_mev_per_atom=844.1 pbc="T T T"
Cl -0.311 -2.184 1.575
Mo -1.284 -1.882 -1.469
Re 0.000 0.000 0.000
Re -2.777 -1.422 0.746

| no. | N(E_F) (states/eV per cell) | E_tot (eV per cell) |
| --- | --- | --- |
| 1 | 5.8 | -40.295 |
| 2 | 2.7 | -30.399 |
| 3 | 21.4 | -61.314 |
| 4 | 6.8 | -46.110 |
| 5 | 18.7 | -46.293 |
| 6 | 3.6 | -33.224 |